# 1
## CePu2As3 (PBE)

Data for a geometry-optimized CePu2As3 structure.

Cell lengths 7.2117, 7.2117, 7.2117 Å; angles 146.29, 131.72, 60.17 degrees
With the nearest neighbours (Å) after each atom.
Element x y z (fractional)
Ce: 0.0000 0.0000 0.0000  6 As 2.95-2.97
Pu: 0.3339 0.3339 0.0000  6 As 2.93-2.95
Pu: 0.6661 0.6661 0.0000  6 As 2.93-2.95
As: 0.1693 0.6693 0.5000  4 Pu 2.93-2.95, 2 Ce 2.97
As: 0.5000 0.0000 0.5000  4 Pu 2.94, 2 Ce 2.95
As: 0.8307 0.3307 0.5000  4 Pu 2.93-2.95, 2 Ce 2.97

Computed properties:
M_tot ... 1.818 μB per atom
Space group ... No. 71
E ... -9.2495 eV/atom
DFT formation energy ... -1.158 eV per atom
Crystal system ... orthorhombic

=====

# 2
## CePuAs2Rh2 (PBE)

Data for a geometry-optimized CePuAs2Rh2 structure.

Cell lengths 4.2716, 4.2716, 7.6451 Å; angles 90.00, 90.00, 120.00 degrees
With the nearest neighbours (Å) after each atom.
Element x y z (fractional)
Ce: 0.0000 0.0000 0.0000  6 As 3.06, 6 Rh 3.22
Pu: 0.0000 0.0000 0.5000  6 Rh 3.02, 6 As 3.18
As: 0.3333 0.6667 0.2379  3 Rh 2.48
As: 0.6667 0.3333 0.7621  3 Rh 2.48
Rh: 0.3333 0.6667 0.7283  3 As 2.48
Rh: 0.6667 0.3333 0.2717  3 As 2.48

Computed properties:
M_tot ... 0.755 μB per atom
Space group ... No. 164
E ... -8.3429 eV/atom
DFT formation energy ... -0.965 eV per atom
Crystal system ... trigonal

=====

- Look up the DFT formation energy of the second one.
  -0.965 eV per atom

=====

- What is the formula in the first record?
  CePu2As3

=====

Repeat the first record exactly.
## CePu2As3 (PBE)

Data for a geometry-optimized CePu2As3 structure.

Cell lengths 7.2117, 7.2117, 7.2117 Å; angles 146.29, 131.72, 60.17 degrees
With the nearest neighbours (Å) after each atom.
Element x y z (fractional)
Ce: 0.0000 0.0000 0.0000  6 As 2.95-2.97
Pu: 0.3339 0.3339 0.0000  6 As 2.93-2.95
Pu: 0.6661 0.6661 0.0000  6 As 2.93-2.95
As: 0.1693 0.6693 0.5000  4 Pu 2.93-2.95, 2 Ce 2.97
As: 0.5000 0.0000 0.5000  4 Pu 2.94, 2 Ce 2.95
As: 0.8307 0.3307 0.5000  4 Pu 2.93-2.95, 2 Ce 2.97

Computed properties:
M_tot ... 1.818 μB per atom
Space group ... No. 71
E ... -9.2495 eV/atom
DFT formation energy ... -1.158 eV per atom
Crystal system ... orthorhombic

=====

- Among the records above, which one has the lowest M_tot?
  CePuAs2Rh2